PBEsol Zr2ZnCu, relaxed; calculated formation energy = 6.0 kcal/mol of atoms; density = 7.319 g cm⁻³; density of states at the Fermi level = 3.43 states/eV/f.u.; M_tot = 2.822 μB/cell; calculated volume = 17.66 Å³ per atom
1.0
0.0000 3.2812 3.2812
3.2812 0.0000 3.2812
3.2812 3.2812 0.0000
Zr Zn Cu
2 1 1
direct
0.0000 0.0000 0.0000 Zr
0.2500 0.2500 0.2500 Zr
0.7500 0.7500 0.7500 Zn
0.5000 0.5000 0.5000 Cu

***

PBEsol MgOsSe2, relaxed; formation energy from raw total energies = -0.11 eV per atom; density = 8.284 g cm⁻³; density of states at the Fermi level = 1.73 states/eV/f.u.; M_tot = 0.000 μB/cell; calculated volume = 18.66 Å³ per atom
1.0
2.9918 0.0000 0.0000
0.0000 2.9918 0.0000
0.0000 0.0000 8.3407
Mg Os Se
1 1 2
direct
0.0000 0.0000 0.0000 Mg
0.5000 0.5000 0.2412 Os
0.0000 0.0000 0.3997 Se
0.5000 0.5000 0.7703 Se

***

PBEsol MgZr4P, relaxed; calculated formation energy = 9.1 kcal/mol of atoms; density = 5.460 g cm⁻³; density of states at the Fermi level = 6.94 states/eV/f.u.; M_tot = 0.001 μB/cell; calculated volume = 21.30 Å³ per atom
1.0
0.0000 3.9978 3.9978
3.9978 0.0000 3.9978
3.9978 3.9978 0.0000
Mg Zr P
1 4 1
direct
0.0000 0.0000 0.0000 Mg
0.3734 0.3734 0.3734 Zr
0.3734 0.3734 0.8797 Zr
0.3734 0.8797 0.3734 Zr
0.8797 0.3734 0.3734 Zr
0.7500 0.7500 0.7500 P